Entry 1:
First-principles (PBE) data for an optimized crystal structure of Cs2YPdF, as listed in Alexandria.

Cell lengths 5.171, 5.171, 7.418 Å; angles 90.00, 90.00, 90.00 degrees
Space group P4/mmm (No. 123)
Symmetry-distinct sites (fractional):
Cs (0.000, 0.500, 0.000) x2
Y (0.000, 0.000, 0.500) x1
Pd (0.500, 0.500, 0.500) x1
F (0.500, 0.500, 0.000) x1

## Properties
- E (eV for the cell shown) = -17.04
- formation energy without anion corrections (meV/atom) = -361
- theoretical density (g/cm³) = 4.02

---

Entry 2:
First-principles (PBE) data for an optimized crystal structure of Ba3Ta, as listed in Alexandria.

Cell lengths 3.776, 3.776, 11.777 Å; angles 90.00, 90.00, 90.00 degrees
Space group P4/mmm (No. 123)
Symmetry-distinct sites (fractional):
Ba (0.000, 0.000, 0.000) x1
Ba (0.500, 0.500, 0.307) x2
Ta (0.000, 0.000, 0.500) x1

## Properties
- DFT formation energy (eV/atom) = 0.859
- E (eV for the cell shown) = -14.19
- theoretical density (g/cm³) = 5.86
- ΔE to the lowest computed polymorph (meV per atom) = 336.0

---

Entry 3:
First-principles (PBE) data for an optimized crystal structure of AlTl2Cr, as listed in Alexandria.

Cell lengths 6.303, 10.431, 3.282 Å; angles 90.00, 121.23, 90.00 degrees
Space group C2/m (No. 12)
Symmetry-distinct sites (fractional):
Al (0.000, 0.000, 0.000) x2
Tl (0.250, 0.250, 0.500) x4
Cr (0.000, 0.500, 0.000) x2

## Properties
- DFT formation energy (eV/atom) = 0.541
- E (eV for the cell shown) = -31.87
- theoretical density (g/cm³) = 8.78
- ΔE to the lowest computed polymorph (meV per atom) = 225.9

---

Entry 4:
First-principles (PBE) data for an optimized crystal structure of AcSn2Au3, as listed in Alexandria.

Cell lengths 17.498, 5.023, 7.242 Å; angles 90.00, 110.71, 90.00 degrees
Space group C2/m (No. 12)
Symmetry-distinct sites (fractional):
Ac (0.135, 0.000, 0.177) x4
Sn (0.003, 0.500, 0.791) x4
Sn (0.211, 0.000, 0.702) x4
Au (0.048, 0.000, 0.708) x4
Au (0.160, 0.500, 0.496) x4
Au (0.180, 0.500, 0.916) x4

## Properties
- DFT formation energy (eV/atom) = -0.523
- E (eV for the cell shown) = -100.34
- theoretical density (g/cm³) = 11.77

---

Entry 5:
First-principles (PBE) data for an optimized crystal structure of Ac3HfPd12, as listed in Alexandria.

Cell lengths 4.243, 4.243, 16.939 Å; angles 90.00, 90.00, 90.00 degrees
Space group P4/mmm (No. 123)
Symmetry-distinct sites (fractional):
Ac (0.000, 0.000, 0.000) x1
Ac (0.000, 0.000, 0.258) x2
Hf (0.000, 0.000, 0.500) x1
Pd (0.000, 0.500, 0.130) x4
Pd (0.000, 0.500, 0.391) x4
Pd (0.500, 0.500, 0.000) x1
Pd (0.500, 0.500, 0.261) x2
Pd (0.500, 0.500, 0.500) x1

## Properties
- DFT formation energy (eV/atom) = -0.759
- E (eV for the cell shown) = -96.74
- theoretical density (g/cm³) = 11.64

---

Entry 6:
First-principles (PBE) data for an optimized crystal structure of Ba5MgAu2, as listed in Alexandria.

Cell lengths 9.170, 9.170, 16.341 Å; angles 90.00, 90.00, 90.00 degrees
Space group I4/mcm (No. 140)
Symmetry-distinct sites (fractional):
Ba (0.000, 0.000, 0.000) x4
Ba (0.163, 0.337, 0.134) x16
Mg (0.000, 0.000, 0.250) x4
Au (0.134, 0.366, 0.500) x8

## Properties
- DFT formation energy (eV/atom) = -0.394
- E (eV for the cell shown) = -83.65
- theoretical density (g/cm³) = 5.34

---

Entry 7:
First-principles (PBE) data for an optimized crystal structure of BaGd2O4, as listed in Alexandria.

Cell lengths 10.599, 3.539, 12.355 Å; angles 90.00, 90.00, 90.00 degrees
Space group Pnma (No. 62)
Symmetry-distinct sites (fractional):
Ba (0.247, 0.250, 0.148) x4
Gd (0.075, 0.250, 0.389) x4
Gd (0.078, 0.250, 0.890) x4
O (0.018, 0.750, 0.783) x4
O (0.071, 0.250, 0.575) x4
O (0.117, 0.750, 0.019) x4
O (0.210, 0.750, 0.337) x4

## Properties
- E (eV for the cell shown) = -289.40
- formation energy without anion corrections (meV/atom) = -3205
- theoretical density (g/cm³) = 7.39

---

Entry 8:
First-principles (PBE) data for an optimized crystal structure of Y2MoBr, as listed in Alexandria.

Cell lengths 7.161, 7.161, 7.161 Å; angles 90.00, 90.00, 90.00 degrees
Space group F-43m (No. 216)
Symmetry-distinct sites (fractional):
Y (0.000, 0.000, 0.000) x4
Y (0.250, 0.250, 0.250) x4
Mo (0.000, 0.000, 0.500) x4
Br (0.250, 0.250, 0.750) x4

## Properties
- E (eV for the cell shown) = -91.94
- formation energy without anion corrections (meV/atom) = 612
- theoretical density (g/cm³) = 6.40
- ΔE to the lowest computed polymorph (meV per atom) = 947.4

---

Entry 9:
First-principles (PBE) data for an optimized crystal structure of PmCoSb, as listed in Alexandria.

Cell lengths 6.480, 6.480, 6.480 Å; angles 90.00, 90.00, 90.00 degrees
Space group F-43m (No. 216)
Symmetry-distinct sites (fractional):
Pm (0.000, 0.000, 0.000) x4
Co (0.250, 0.250, 0.750) x4
Sb (0.000, 0.000, 0.500) x4

## Properties
- E (eV for the cell shown) = -70.51
- formation energy without anion corrections (meV/atom) = -549
- theoretical density (g/cm³) = 7.95
- ΔE to the lowest computed polymorph (meV per atom) = 20.7

---

Entry 10:
First-principles (PBE) data for an optimized crystal structure of La2PmRuO8, as listed in Alexandria.

Cell lengths 4.807, 5.387, 7.081 Å; angles 91.89, 90.77, 91.75 degrees
Space group P-1 (No. 2)
Symmetry-distinct sites (fractional):
La (0.054, 0.037, 0.254) x2
Pm (0.500, 0.500, 0.000) x1
Ru (0.500, 0.500, 0.500) x1
O (0.130, 0.227, 0.980) x2
O (0.179, 0.310, 0.531) x2
O (0.336, 0.682, 0.298) x2
O (0.400, 0.739, 0.711) x2

## Properties
- E (eV for the cell shown) = -91.25
- formation energy without anion corrections (meV/atom) = -2308
- theoretical density (g/cm³) = 5.91

---

Entry 11:
First-principles (PBE) data for an optimized crystal structure of YOs2Br, as listed in Alexandria.

Cell lengths 3.182, 5.341, 4.565 Å; angles 90.00, 90.43, 90.00 degrees
Space group P2/m (No. 10)
Symmetry-distinct sites (fractional):
Y (0.000, 0.000, 0.000) x1
Os (0.344, 0.500, 0.243) x2
Br (0.500, 0.000, 0.500) x1

## Properties
- E (eV for the cell shown) = -28.73
- formation energy without anion corrections (meV/atom) = 467
- theoretical density (g/cm³) = 11.76
- ΔE to the lowest computed polymorph (meV per atom) = 529.6

---

Entry 12:
First-principles (PBE) data for an optimized crystal structure of PuUOs, as listed in Alexandria.

Cell lengths 9.696, 4.526, 5.830 Å; angles 90.00, 124.66, 90.00 degrees
Space group C2/m (No. 12)
Symmetry-distinct sites (fractional):
Pu (0.146, 0.000, 0.076) x4
U (0.185, 0.000, 0.687) x4
Os (0.030, 0.500, 0.290) x4

## Properties
- DFT formation energy (eV/atom) = -0.090
- E (eV for the cell shown) = -148.48
- theoretical density (g/cm³) = 21.22
- ΔE to the lowest computed polymorph (meV per atom) = 0.0

---

Entry 13:
First-principles (PBE) data for an optimized crystal structure of TaSi2Ir, as listed in Alexandria.

Cell lengths 4.500, 2.874, 5.022 Å; angles 90.00, 114.07, 90.00 degrees
Space group P2/m (No. 10)
Symmetry-distinct sites (fractional):
Ta (0.000, 0.000, 0.000) x1
Si (0.500, 0.000, 0.500) x1
Si (0.500, 0.500, 0.000) x1
Ir (0.000, 0.500, 0.500) x1

## Properties
- E (eV for the cell shown) = -32.74
- formation energy without anion corrections (meV/atom) = -294
- theoretical density (g/cm³) = 12.02

---

Entry 14:
First-principles (PBE) data for an optimized crystal structure of ZrCrMo2, as listed in Alexandria.

Cell lengths 5.272, 9.462, 2.662 Å; angles 90.00, 90.00, 90.00 degrees
Space group Cmmm (No. 65)
Symmetry-distinct sites (fractional):
Zr (0.000, 0.000, 0.000) x2
Cr (0.000, 0.500, 0.000) x2
Mo (0.250, 0.250, 0.500) x4

## Properties
- DFT formation energy (eV/atom) = 0.406
- E (eV for the cell shown) = -76.42
- theoretical density (g/cm³) = 8.38
- ΔE to the lowest computed polymorph (meV per atom) = 340.2

---

Entry 15:
First-principles (PBE) data for an optimized crystal structure of PmCoCuSi2, as listed in Alexandria.

Cell lengths 4.038, 4.038, 9.755 Å; angles 90.00, 90.00, 90.00 degrees
Space group I-4m2 (No. 119)
Symmetry-distinct sites (fractional):
Pm (0.000, 0.000, 0.000) x2
Co (0.000, 0.500, 0.750) x2
Cu (0.000, 0.500, 0.250) x2
Si (0.000, 0.000, 0.374) x4

## Properties
- E (eV for the cell shown) = -59.89
- formation energy without anion corrections (meV/atom) = -630
- theoretical density (g/cm³) = 6.76

---

Entry 16:
First-principles (PBE) data for an optimized crystal structure of YOs3N, as listed in Alexandria.

Cell lengths 4.186, 4.186, 4.186 Å; angles 90.00, 90.00, 90.00 degrees
Space group Pm-3m (No. 221)
Symmetry-distinct sites (fractional):
Y (0.000, 0.000, 0.000) x1
Os (0.000, 0.500, 0.500) x3
N (0.500, 0.500, 0.500) x1

## Properties
- E (eV for the cell shown) = -47.13
- formation energy without anion corrections (meV/atom) = 271
- theoretical density (g/cm³) = 15.25
- ΔE to the lowest computed polymorph (meV per atom) = 0.0

---

Entry 17:
First-principles (PBE) data for an optimized crystal structure of AuBr5, as listed in Alexandria.

Cell lengths 7.3155, 7.3155, 3.7918 Å; angles 90.00, 90.00, 120.00 degrees
Space group P-62m (No. 189)
Symmetry-distinct sites (fractional):
Au (0.0000, 0.0000, 0.0000) x1
Br (0.0000, 0.7305, 0.5000) x3
Br (0.3333, 0.6667, 0.0000) x2

## Properties
- E (eV for the cell shown) = -9.32
- formation energy without anion corrections (meV/atom) = 387
- theoretical density (g/cm³) = 5.64
- ΔE to the lowest computed polymorph (meV per atom) = 328.3

---

Entry 18:
First-principles (PBE) data for an optimized crystal structure of Sm7Tl2Rh2, as listed in Alexandria.

Cell lengths 4.003, 16.331, 9.843 Å; angles 90.00, 90.00, 90.00 degrees
Space group Imm2 (No. 44)
Symmetry-distinct sites (fractional):
Sm (0.000, 0.000, 0.000) x2
Sm (0.000, 0.099, 0.393) x4
Sm (0.000, 0.330, 0.620) x4
Sm (0.000, 0.384, 0.217) x4
Tl (0.000, 0.240, 0.904) x4
Rh (0.000, 0.000, 0.650) x2
Rh (0.000, 0.500, 0.714) x2

## Properties
- DFT formation energy (eV/atom) = -0.375
- E (eV for the cell shown) = -113.19
- theoretical density (g/cm³) = 8.60
- ΔE to the lowest computed polymorph (meV per atom) = 0.0

---

Entry 19:
First-principles (PBE) data for an optimized crystal structure of Pm2Pr6DyEr3, as listed in Alexandria.

Cell lengths 6.321, 10.950, 11.937 Å; angles 90.00, 100.14, 90.00 degrees
Space group C2/m (No. 12)
Symmetry-distinct sites (fractional):
Pm (0.000, 0.167, 0.000) x4
Pr (0.248, 0.500, 0.747) x4
Pr (0.249, 0.166, 0.747) x8
Dy (0.000, 0.500, 0.000) x2
Er (0.000, 0.000, 0.500) x2
Er (0.000, 0.333, 0.500) x4

## Properties
- DFT formation energy (eV/atom) = 0.014
- E (eV for the cell shown) = -112.61
- theoretical density (g/cm³) = 7.35

---

Entry 20:
First-principles (PBE) data for an optimized crystal structure of Bi6PtRh2, as listed in Alexandria.

Cell lengths 11.9219, 11.9219, 5.9669 Å; angles 90.00, 90.00, 120.00 degrees
Space group P-3m1 (No. 164)
Symmetry-distinct sites (fractional):
Bi (0.0997, 0.5498, 0.2012) x6
Bi (0.1191, 0.2382, 0.2578) x6
Bi (0.2133, 0.4266, 0.7552) x6
Pt (0.0000, 0.0000, 0.5000) x1
Pt (0.3333, 0.6667, 0.9723) x2
Rh (0.0000, 0.3551, 0.5000) x6

## Properties
- DFT formation energy (eV/atom) = -0.143
- E (eV for the cell shown) = -135.94
- theoretical density (g/cm³) = 11.22
- ΔE to the lowest computed polymorph (meV per atom) = 0.0

---

Entry 21:
First-principles (PBE) data for an optimized crystal structure of LaDyGaCu, as listed in Alexandria.

Cell lengths 7.279, 7.279, 7.279 Å; angles 90.00, 90.00, 90.00 degrees
Space group F-43m (No. 216)
Symmetry-distinct sites (fractional):
La (0.000, 0.000, 0.000) x4
Dy (0.000, 0.000, 0.500) x4
Ga (0.250, 0.250, 0.750) x4
Cu (0.250, 0.250, 0.250) x4

## Properties
- DFT formation energy (eV/atom) = -0.360
- E (eV for the cell shown) = -72.37
- theoretical density (g/cm³) = 7.49

---

Entry 22:
First-principles (PBE) data for an optimized crystal structure of RbW2Cl8, as listed in Alexandria.

Cell lengths 12.770, 6.522, 8.618 Å; angles 90.00, 112.51, 90.00 degrees
Space group C2/m (No. 12)
Symmetry-distinct sites (fractional):
Rb (0.000, 0.000, 0.000) x2
W (0.250, 0.000, 0.503) x4
Cl (0.095, 0.249, 0.390) x8
Cl (0.227, 0.500, 0.756) x4
Cl (0.232, 0.000, 0.762) x4

## Properties
- E (eV for the cell shown) = -103.16
- formation energy without anion corrections (meV/atom) = -903
- theoretical density (g/cm³) = 3.69

---

Entry 23:
First-principles (PBE) data for an optimized crystal structure of Li2ScPd5, as listed in Alexandria.

Cell lengths 6.680, 6.680, 10.686 Å; angles 90.00, 90.00, 90.00 degrees
Space group I4/mcm (No. 140)
Symmetry-distinct sites (fractional):
Li (0.147, 0.353, 0.000) x8
Sc (0.000, 0.000, 0.250) x4
Pd (0.000, 0.000, 0.000) x4
Pd (0.147, 0.353, 0.348) x16

## Properties
- DFT formation energy (eV/atom) = -0.536
- E (eV for the cell shown) = -161.65
- theoretical density (g/cm³) = 8.23
- ΔE to the lowest computed polymorph (meV per atom) = 17.5